Material: Sm2In8Pt
Method: DFT, PBE-GGA
State: optimized geometry

Cell lengths 4.710, 4.710, 12.224 Å; angles 90.00, 90.00, 90.00 degrees
Sites, in units of the cell vectors:
Sm 0.000 0.000 0.309
Sm 0.000 0.000 0.691
In 0.000 0.500 0.500
In 0.500 0.000 0.500
In 0.500 0.500 0.309
In 0.500 0.500 0.691
In 0.000 0.500 0.125
In 0.500 0.000 0.125
In 0.000 0.500 0.875
In 0.500 0.000 0.875
Pt 0.000 0.000 0.000

Summary:
The value obtained for the density of states at the Fermi level is 0.443 states/eV per atom. The calculation puts the energy of formation at -457.9 meV per atom.


Material: Sm6In3Pt
Method: DFT, PBE-GGA
State: optimized geometry

Cell lengths 5.292, 9.247, 11.944 Å; angles 90.00, 90.00, 90.00 degrees
Sites, in units of the cell vectors:
Sm 0.500 0.158 0.917
Sm 0.500 0.186 0.588
Sm 0.500 0.488 0.262
Sm 0.500 0.512 0.738
Sm 0.500 0.814 0.412
Sm 0.500 0.842 0.083
Sm 0.000 0.342 0.417
Sm 0.000 0.314 0.088
Sm 0.000 0.012 0.762
Sm 0.000 0.988 0.238
Sm 0.000 0.686 0.912
Sm 0.000 0.658 0.583
In 0.500 0.846 0.723
In 0.500 0.500 0.000
In 0.500 0.154 0.277
In 0.000 0.654 0.223
In 0.000 0.000 0.500
In 0.000 0.346 0.777
Pt 0.500 0.500 0.500
Pt 0.000 0.000 0.000

Summary:
The value obtained for the density of states at the Fermi level is 0.928 states/eV per atom. The calculation puts the energy relative to the lowest polymorph listed for this composition at 0.024 eV per atom. The calculation puts the energy of formation at -477.4 meV per atom.


Material: Sm2In3Pt4
Method: DFT, PBE-GGA
State: optimized geometry

Cell lengths 5.917, 7.587, 8.987 Å; angles 90.00, 109.22, 90.00 degrees
Sites, in units of the cell vectors:
Sm 0.101 0.591 0.202
Sm 0.899 0.409 0.798
Sm 0.399 0.091 0.798
Sm 0.601 0.909 0.202
In 0.000 0.000 0.000
In 0.500 0.500 0.000
In 0.514 0.750 0.528
In 0.986 0.250 0.472
In 0.486 0.250 0.472
In 0.014 0.750 0.528
Pt 0.680 0.750 0.860
Pt 0.820 0.250 0.140
Pt 0.320 0.250 0.140
Pt 0.180 0.750 0.860
Pt 0.165 0.971 0.330
Pt 0.835 0.029 0.670
Pt 0.335 0.471 0.670
Pt 0.665 0.529 0.330

Summary:
The value obtained for the density of states at the Fermi level is 0.594 states/eV per atom. The calculation puts the energy relative to the lowest polymorph listed for this composition at 0.010 eV per atom. The calculation puts the energy of formation at -813.2 meV per atom.


Material: Sm2InPt
Method: DFT, PBE-GGA
State: optimized geometry

Cell lengths 3.584, 3.584, 7.935 Å; angles 90.00, 90.00, 90.00 degrees
Sites, in units of the cell vectors:
Sm 0.000 0.000 0.780
Sm 0.000 0.000 0.220
Pt 0.500 0.500 0.000
In 0.500 0.500 0.500

Summary:
The value obtained for the density of states at the Fermi level is 0.586 states/eV per atom. The calculation puts the energy relative to the lowest polymorph listed for this composition at 0.000 eV per atom. The calculation puts the energy of formation at -796.1 meV per atom.


Look up the density of states at the Fermi level of the first one. 0.443 states/eV per atom


The highest energy of formation belongs to which entry? Sm2In8Pt


Among the records above, which one has the highest energy of formation? Sm2In8Pt


Among the records above, which one has the highest density of states at the Fermi level? Sm6In3Pt